This record from the Alexandria database describes a relaxed structure of Nd2Zn3Ga4Pd. The functional is PBE-GGA.

Results
Calculated total energy ... -3.62 eV per atom
Energy of formation ... -0.551 eV/atom
M_tot ... 0.000 μB per atom
Calculated density ... 7.5 g cm⁻³

Lattice parameters (Å, degrees): 4.2570 4.2570 10.6460 90.00 90.00 90.00
Closest atoms and distances in Å follow each position.
Space group P-4m2 (No. 115)
One atom of each set of equivalent atoms:
Nd 0.0000 0.5000 0.2504  6 Zn 3.24-3.41, 8 Ga 3.26-3.40, 2 Pd 3.41
Zn 0.0000 0.0000 0.0000  4 Ga 2.55
Zn 0.0000 0.5000 0.6359  5 Ga 2.47-2.57
Ga 0.0000 0.0000 0.5000  4 Zn 2.57
Ga 0.0000 0.5000 0.8677  3 Zn 2.47-2.55, 2 Pd 2.55
Ga 0.5000 0.5000 0.5000  4 Zn 2.57
Pd 0.5000 0.5000 0.0000  4 Ga 2.55


This record from the Alexandria database describes a relaxed structure of ZrFe2Se. The functional is PBE-GGA.

Results
Calculated total energy ... -7.45 eV per atom
M_tot ... 1.186 μB per atom
Calculated density ... 7.1 g cm⁻³

Lattice parameters (Å, degrees): 3.4815 3.3558 11.2445 90.00 90.00 90.00
Closest atoms and distances in Å follow each position.
Space group Amm2 (No. 38)
One atom of each set of equivalent atoms:
Zr 0.0000 0.0000 0.0000  5 Fe 2.67-2.94, 4 Se 2.70
Fe 0.0000 0.0000 0.2374  2 Se 2.47, 4 Fe 2.62, 1 Zr 2.67
Fe 0.5000 0.0000 0.6481  4 Fe 2.62, 1 Se 2.87
Se 0.5000 0.0000 0.3932  2 Fe 2.47, 4 Zr 2.70


This record from the Alexandria database describes a relaxed structure of MnBeZnMo. The functional is PBE-GGA.

Results
Calculated total energy ... -6.18 eV per atom
Energy of formation ... 0.072 eV/atom
M_tot ... 0.249 μB per atom
Calculated density ... 7.6 g cm⁻³

Lattice parameters (Å, degrees): 5.8202 5.8202 5.8202 90.00 90.00 90.00
Closest atoms and distances in Å follow each position.
Space group F-43m (No. 216)
One atom of each set of equivalent atoms:
Mn 0.0000 0.0000 0.0000  4 Zn 2.52, 4 Mo 2.52
Be 0.0000 0.0000 0.5000  4 Mo 2.52, 4 Zn 2.52
Zn 0.2500 0.2500 0.7500  4 Mn 2.52, 4 Be 2.52
Mo 0.2500 0.2500 0.2500  4 Mn 2.52, 4 Be 2.52